Compound: Ag2HSeBr
Source: Alexandria via LeMat-Bulk
Functional: PBE
Structure: optimized geometry

**Magnetization**: 0.11 μB/f.u.
**SG**: P4/mmm (123)
**Final energy**: -2.834 eV per atom
**Density of states at the Fermi level**: 1.43 states/eV per cell
**Volume**: 100 Å³/cell

Lattice parameters (Å, degrees): 5.2676 5.2676 3.6091 90.00 90.00 90.00
Atoms (fractional coordinates):
H (0.0000, 0.0000, 0.5000)
Se (0.0000, 0.0000, 0.0000)
Br (0.5000, 0.5000, 0.5000)
Ag (0.0000, 0.5000, 0.0000)
Ag (0.5000, 0.0000, 0.0000)

=====

Compound: Ag2H2SeBr2
Source: Alexandria via LeMat-Bulk
Functional: PBE
Structure: optimized geometry

**Magnetization**: 0.00 μB/f.u.
**SG**: C2/m (12)
**Final energy**: -2.630 eV per atom
**Density of states at the Fermi level**: 0.97 states/eV per cell
**Volume**: 130 Å³/cell

Lattice parameters (Å, degrees): 3.6042 6.4148 6.4090 69.05 73.67 73.68
Atoms (fractional coordinates):
Ag (0.5016, 0.2897, 0.7072)
Ag (0.4984, 0.7103, 0.2928)
H (0.1662, 0.8330, 0.8346)
H (0.8338, 0.1670, 0.1654)
Se (0.0000, 0.0000, 0.0000)
Br (0.1903, 0.3105, 0.3090)
Br (0.8097, 0.6895, 0.6910)

=====

Compound: AgHSeBr2
Source: Alexandria via LeMat-Bulk
Functional: PBE
Structure: optimized geometry

**Magnetization**: 0.38 μB/f.u.
**SG**: P4/mmm (123)
**Final energy**: -2.241 eV per atom
**Density of states at the Fermi level**: 3.45 states/eV per cell
**Volume**: 103 Å³/cell

Lattice parameters (Å, degrees): 5.4093 5.4093 3.5109 90.00 90.00 90.00
Site moments in Bohr magnetons follow the coordinates.
Atoms (fractional coordinates):
H (0.0000, 0.0000, 0.0000)  0.00
Se (0.0000, 0.0000, 0.5000)  0.18
Br (0.0000, 0.5000, 0.0000)  0.05
Br (0.5000, 0.0000, 0.0000)  0.05
Ag (0.5000, 0.5000, 0.5000)  0.00